# 1
DFT (GGA-PBEsol) results for a relaxed structure of TiAgBr2.

Results
space group = Fm-3m, No. 225
energy relative to the elements, uncorrected = -0.24 eV per formula unit
E_tot = -15.61 eV for the cell shown
magnetization = 0.545 μB/atom
density of states at the Fermi level = 0.953 states/eV per atom

Cell lengths 4.825, 4.825, 4.825 Å; angles 60.00, 60.00, 60.00 degrees
Atoms (fractional coordinates):
1 Br 0.750 0.750 0.750
2 Br 0.250 0.250 0.250
3 Ag 0.500 0.500 0.500
4 Ti 0.000 0.000 0.000


# 2
DFT (GGA-PBEsol) results for a relaxed structure of TlAgBr2.

Results
space group = R3m, No. 160
energy relative to the elements, uncorrected = -2.00 eV per formula unit
E_tot = -11.68 eV for the cell shown
magnetization = 0.000 μB/atom
density of states at the Fermi level = 0.000 states/eV per atom

Cell lengths 4.166, 4.166, 7.750 Å; angles 74.40, 74.40, 60.01 degrees
Atoms (fractional coordinates):
1 Br 0.932 0.932 0.205
2 Br 0.734 0.734 0.797
3 Ag 0.334 0.334 0.000
4 Tl 0.501 0.501 0.498


# 3
DFT (GGA-PBEsol) results for a relaxed structure of TlAgBr2.

Results
space group = Cm, No. 8
energy relative to the elements, uncorrected = -1.97 eV per formula unit
E_tot = -11.65 eV for the cell shown
magnetization = 0.000 μB/atom
density of states at the Fermi level = 0.000 states/eV per atom

Cell lengths 4.387, 4.455, 6.732 Å; angles 89.96, 109.01, 90.00 degrees
Atoms (fractional coordinates):
1 Br 0.790 0.516 0.579
2 Br 0.059 0.996 0.118
3 Tl 0.475 0.496 0.950
4 Ag 0.176 0.492 0.353